No. 1
LiTh2Rh9 | PBE | optimized geometry

a b c (Å): 5.2853 5.2853 26.4903
angles (deg): 90.00 90.00 120.00
Space group R-3m (No. 166, hexagonal axes)
Symmetry-distinct sites (fractional):
Li1 0.0000 0.0000 0.0000 [3 per cell]
Th1 0.0000 0.0000 0.1332 [6 per cell]
Rh1 0.0000 0.0000 0.3328 [6 per cell]
Rh2 0.0000 0.0000 0.5000 [3 per cell]
Rh3 0.0010 0.5005 0.9183 [18 per cell]

Properties
Crystal system: trigonal

---

No. 2
Li4ThRh12 | PBE | optimized geometry

a b c (Å): 5.1045 6.5079 8.5741
angles (deg): 108.61 104.70 97.21
Space group P1 (No. 1)
Symmetry-distinct sites (fractional):
Li1 0.0000 0.0000 0.0000 [1 per cell]
Li2 0.1650 0.6193 0.4370 [1 per cell]
Li3 0.3711 0.9801 0.5240 [1 per cell]
Li4 0.6051 0.5652 0.9733 [1 per cell]
Th1 0.8743 0.2224 0.4817 [1 per cell]
Rh1 0.0344 0.5873 0.8470 [1 per cell]
Rh2 0.1619 0.4579 0.1084 [1 per cell]
Rh3 0.2318 0.2086 0.7931 [1 per cell]
Rh4 0.3018 0.2339 0.3080 [1 per cell]
Rh5 0.4181 0.8475 0.8030 [1 per cell]
Rh6 0.4590 0.8729 0.1538 [1 per cell]
Rh7 0.4879 0.4448 0.6419 [1 per cell]
Rh8 0.6425 0.6412 0.3500 [1 per cell]
Rh9 0.6510 0.2594 0.1230 [1 per cell]
Rh10 0.7468 0.2034 0.8252 [1 per cell]
Rh11 0.8444 0.8199 0.6651 [1 per cell]
Rh12 0.9920 0.8286 0.2283 [1 per cell]

Properties
Crystal system: triclinic

---

No. 3
Li3ThRh3 | PBE | optimized geometry

a b c (Å): 6.2049 6.2049 6.2049
angles (deg): 90.00 90.00 90.00
Space group Pm-3n (No. 223)
Symmetry-distinct sites (fractional):
Li1 0.0000 0.2500 0.5000 [6 per cell]
Th1 0.0000 0.0000 0.0000 [2 per cell]
Rh1 0.0000 0.5000 0.2500 [6 per cell]

Properties
Crystal system: cubic

---

No. 4
LiTh3Rh8 | PBE | optimized geometry

a b c (Å): 5.3595 5.3595 26.3604
angles (deg): 90.00 90.00 120.00
Space group R3m (No. 160, hexagonal axes)
Symmetry-distinct sites (fractional):
Li1 0.0000 0.0000 0.0000 [3 per cell]
Th1 0.0000 0.0000 0.3587 [3 per cell]
Th2 0.0000 0.0000 0.4882 [3 per cell]
Th3 0.0000 0.0000 0.8771 [3 per cell]
Rh1 0.0000 0.0000 0.1790 [3 per cell]
Rh2 0.0000 0.0000 0.6791 [3 per cell]
Rh3 0.0008 0.5004 0.4287 [9 per cell]
Rh4 0.1683 0.3367 0.2627 [9 per cell]

Properties
Crystal system: trigonal

---

No. 5
LiTmThRh | PBE | optimized geometry

a b c (Å): 7.0721 7.0721 7.0721
angles (deg): 90.00 90.00 90.00
Space group F-43m (No. 216)
Symmetry-distinct sites (fractional):
Li1 0.0000 0.0000 0.0000 [4 per cell]
Tm1 0.2500 0.2500 0.7500 [4 per cell]
Th1 0.2500 0.2500 0.2500 [4 per cell]
Rh1 0.0000 0.0000 0.5000 [4 per cell]

Properties
Crystal system: cubic

---

No. 6
LiYThRh | PBE | optimized geometry

a b c (Å): 7.1242 7.1242 7.1242
angles (deg): 90.00 90.00 90.00
Space group F-43m (No. 216)
Symmetry-distinct sites (fractional):
Li1 0.0000 0.0000 0.0000 [4 per cell]
Y1 0.2500 0.2500 0.7500 [4 per cell]
Th1 0.2500 0.2500 0.2500 [4 per cell]
Rh1 0.0000 0.0000 0.5000 [4 per cell]

Properties
Crystal system: cubic

---

No. 7
LiThZnRh | PBE | optimized geometry

a b c (Å): 6.7038 6.7038 6.7038
angles (deg): 90.00 90.00 90.00
Space group F-43m (No. 216)
Symmetry-distinct sites (fractional):
Li1 0.0000 0.0000 0.0000 [4 per cell]
Th1 0.2500 0.2500 0.2500 [4 per cell]
Zn1 0.2500 0.2500 0.7500 [4 per cell]
Rh1 0.0000 0.0000 0.5000 [4 per cell]

Properties
Crystal system: cubic

---

No. 8
LiTi3Rh | PBE | optimized geometry

a b c (Å): 4.2902 4.2902 4.2902
angles (deg): 90.00 90.00 90.00
Space group Pm-3m (No. 221)
Symmetry-distinct sites (fractional):
Li1 0.0000 0.0000 0.0000 [1 per cell]
Ti1 0.0000 0.0000 0.5000 [3 per cell]
Rh1 0.5000 0.5000 0.5000 [1 per cell]

Properties
Crystal system: cubic

---

Number 1: calculated formation energy -0.385 eV per atom, V 640.8 Å³ per cell. Number 2: calculated formation energy -0.097 eV per atom, V 254.4 Å³ per cell. Number 3: calculated formation energy 0.351 eV per atom, V 238.9 Å³ per cell. Number 4: calculated formation energy -0.669 eV per atom, V 655.7 Å³ per cell. Number 5: calculated formation energy -0.376 eV per atom, V 353.7 Å³ per cell. Number 6: calculated formation energy -0.340 eV per atom, V 361.6 Å³ per cell. Number 7: calculated formation energy -0.368 eV per atom, V 301.3 Å³ per cell. Number 8: calculated formation energy 0.766 eV per atom, V 79.0 Å³ per cell.